Below is a geometry-optimized ZrInBi structure, with properties calculated at the PBE level.

a b c (Å): 3.8409 3.8409 5.7600
angles (deg): 109.48 109.48 90.00
Atoms (fractional coordinates):
Zr 0.6692 0.6692 0.3384
In 0.0080 0.0080 0.0161
Bi 0.3228 0.3228 0.6456

Computed properties:
Size of the total moment (μB/f.u.): 0.000
Volume (Å³ per cell): 75
Energy of formation (eV per atom): -0.130
DOS(E_F) (states/eV per atom): 1.382
SG: No. 107

=====

Below is a geometry-optimized CoPb2Cl structure, with properties calculated at the PBE level.

a b c (Å): 3.3827 3.3832 8.3531
angles (deg): 71.92 90.00 90.00
Site moments in Bohr magnetons follow the coordinates.
Atoms (fractional coordinates):
Co 0.5000 0.7500 0.7500  1.01
Cl 0.5000 0.2500 0.2500  -0.01
Pb 0.0000 0.4145 0.5395  -0.04
Pb 0.0000 0.0855 0.9605  -0.04

Computed properties:
Size of the total moment (μB/f.u.): 0.831
Volume (Å³ per cell): 91
E_form (uncorrected) (eV per atom): 0.05
Relative energy among the computed polymorphs (eV per atom): 0.069
DOS(E_F) (states/eV per atom): 0.887
SG: No. 10

=====

Below is a geometry-optimized Ga2FePPd structure, with properties calculated at the PBE level.

a b c (Å): 4.7280 4.5140 4.7280
angles (deg): 90.00 90.00 90.00
Site moments in Bohr magnetons follow the coordinates.
Atoms (fractional coordinates):
Fe 0.5000 0.5000 0.5000  3.15
Pd 0.0000 0.5000 0.0000  0.03
Ga 0.5000 0.0000 0.0000  -0.05
Ga 0.0000 0.0000 0.5000  -0.02
P 0.0000 0.0000 0.0000  0.00

Computed properties:
Size of the total moment (μB/f.u.): 3.126
Volume (Å³ per cell): 101
Energy of formation (eV per atom): 0.613
DOS(E_F) (states/eV per atom): 1.078
SG: No. 123

=====

Below is a geometry-optimized Zr3ScBi structure, with properties calculated at the PBE level.

a b c (Å): 5.4031 5.4031 5.4031
angles (deg): 90.00 90.00 90.00
Atoms (fractional coordinates):
Sc 0.5000 0.5000 0.5000
Zr 0.0000 0.5000 0.0000
Bi 0.0000 0.0000 0.0000
Zr 0.5000 0.0000 0.0000
Zr 0.0000 0.0000 0.5000

Computed properties:
Size of the total moment (μB/f.u.): 0.000
Volume (Å³ per cell): 158
Relative energy among the computed polymorphs (eV per atom): 0.000
Energy of formation (eV per atom): 0.880
DOS(E_F) (states/eV per atom): 1.423
SG: No. 221

=====

Below is a geometry-optimized MnNbCl6 structure, with properties calculated at the PBE level.

a b c (Å): 6.3122 6.3121 6.7481
angles (deg): 62.12 62.11 60.00
Site moments in Bohr magnetons follow the coordinates.
Atoms (fractional coordinates):
Cl 0.7584 0.0977 0.7527  0.02
Nb 0.0000 0.0000 0.0000  0.98
Cl 0.0977 0.3913 0.7527  0.02
Cl 0.6087 0.2417 0.2474  0.02
Mn 0.5000 0.5000 0.5000  4.39
Cl 0.3913 0.7583 0.7526  0.02
Cl 0.9023 0.6087 0.2473  0.02
Cl 0.2416 0.9023 0.2473  0.02

Computed properties:
Size of the total moment (μB/f.u.): 6.012
Volume (Å³ per cell): 196
E_form (uncorrected) (eV per atom): -1.10
Relative energy among the computed polymorphs (eV per atom): 0.026
DOS(E_F) (states/eV per atom): 0.621
SG: No. 148

=====

Below is a geometry-optimized PrCoH2 structure, with properties calculated at the PBE level.

a b c (Å): 4.0684 4.0684 4.4579
angles (deg): 62.85 62.85 60.00
Site moments in Bohr magnetons follow the coordinates.
Atoms (fractional coordinates):
H 0.8623 0.8623 0.4131  0.00
H 0.1377 0.1377 0.5869  0.00
Co 0.0000 0.0000 0.0000  0.18
Pr 0.5000 0.5000 0.5000  -0.03

Computed properties:
Size of the total moment (μB/f.u.): 0.112
Volume (Å³ per cell): 54
DOS(E_F) (states/eV per atom): 0.641
SG: No. 166
Energy (eV/cell): -19.409

=====

Below is a geometry-optimized SiAgSb2Te structure, with properties calculated at the PBE level.

a b c (Å): 5.2942 5.2942 5.4912
angles (deg): 90.00 90.00 90.00
Atoms (fractional coordinates):
Sb 0.5000 0.0000 0.0000
Si 0.5000 0.5000 0.5000
Ag 0.0000 0.0000 0.0000
Te 0.0000 0.0000 0.5000
Sb 0.0000 0.5000 0.0000

Computed properties:
Size of the total moment (μB/f.u.): 0.000
Volume (Å³ per cell): 154
E_form (uncorrected) (eV per atom): 0.95
Relative energy among the computed polymorphs (eV per atom): 0.293
DOS(E_F) (states/eV per atom): 1.110
SG: No. 123

=====

Below is a geometry-optimized DySc5Co6 structure, with properties calculated at the PBE level.

a b c (Å): 4.4503 6.3596 7.7250
angles (deg): 114.31 106.74 90.00
Site moments in Bohr magnetons follow the coordinates.
Atoms (fractional coordinates):
Co 0.8303 0.0850 0.6605  0.43
Sc 0.6663 0.6663 0.3326  -0.12
Co 0.5000 0.2600 0.0000  0.40
Sc 0.3297 0.8297 0.6594  -0.12
Co 0.8303 0.5756 0.6605  0.43
Co 0.1697 0.9150 0.3395  0.43
Co 0.1697 0.4244 0.3395  0.43
Dy 0.0000 0.0000 0.0000  -0.14
Sc 0.6703 0.1703 0.3406  -0.12
Co 0.5000 0.7400 0.0000  0.40
Sc 0.3337 0.3337 0.6674  -0.12
Sc 0.0000 0.5000 0.0000  -0.12

Computed properties:
Size of the total moment (μB/f.u.): 1.348
Volume (Å³ per cell): 189
Energy of formation (eV per atom): -0.305
DOS(E_F) (states/eV per atom): 0.551
SG: No. 71

=====

Below is a geometry-optimized SrTeSe2 structure, with properties calculated at the PBE level.

a b c (Å): 6.6772 6.6786 6.6786
angles (deg): 142.46 142.45 54.14
Atoms (fractional coordinates):
Te 0.2500 0.7499 0.5000
Sr 0.5002 0.5002 0.0000
Se 0.0000 0.0000 0.0000
Se 0.7498 0.2499 0.5000

Computed properties:
Size of the total moment (μB/f.u.): 0.000
Volume (Å³ per cell): 110
E_form (uncorrected) (eV per atom): -0.77
DOS(E_F) (states/eV per atom): 0.871
SG: No. 119